1.
## Li4CdRe (SCAN)

Data for a crystal of Li4CdRe relaxed with PBEsol.

Computed properties:
Fermi-level density of states = 0.5376 states/eV per atom
formation energy from the elements = 2.86 eV per formula unit
volume = 14.0 Å³ per atom

Cell lengths 4.9169, 4.9169, 4.9169 Å; angles 60.00, 60.00, 60.00 degrees
With the nearest neighbours (Å) after each atom.
Positions (direct):
1 Li 0.3767 0.3767 0.3767  6 Li 2.43-2.49
2 Li 0.3767 0.8700 0.3767  6 Li 2.43-2.49
3 Li 0.3767 0.3767 0.8700  6 Li 2.43-2.49
4 Li 0.8700 0.3767 0.3767  6 Li 2.43-2.49
5 Cd 0.0000 0.0000 0.0000  12 Li 2.89, 4 Re 3.01
6 Re 0.7500 0.7500 0.7500  12 Li 2.88, 4 Cd 3.01

=====

2.
## Mg2MnGa3 (SCAN)

Data for a crystal of Mg2MnGa3 relaxed with PBEsol.

Computed properties:
Fermi-level density of states = 0.4197 states/eV per atom
formation energy from the elements = -1.63 eV per formula unit
volume = 16.0 Å³ per atom

Cell lengths 5.0363, 5.0363, 8.4314 Å; angles 90.00, 90.00, 115.90 degrees
With the nearest neighbours (Å) after each atom.
Positions (direct):
1 Ga 0.6448 0.8285 0.2500  2 Mn 2.49-2.55, 3 Ga 2.53-2.65
2 Ga 0.3552 0.1715 0.7500  2 Mn 2.49-2.55, 3 Ga 2.53-2.65
3 Ga 0.0000 0.0000 0.0000  2 Mn 2.50, 4 Ga 2.65
4 Ga 0.1715 0.3552 0.2500  2 Mn 2.49-2.55, 3 Ga 2.53-2.65
5 Ga 0.8285 0.6448 0.7500  2 Mn 2.49-2.55, 3 Ga 2.53-2.65
6 Ga 0.0000 0.0000 0.5000  2 Mn 2.50, 4 Ga 2.65
7 Mg 0.6732 0.3268 0.0664  9 Ga 2.85-3.11, 3 Mn 3.03-3.09, 4 Mg 3.10-3.18
8 Mg 0.3268 0.6732 0.9336  9 Ga 2.85-3.11, 3 Mn 3.03-3.09, 4 Mg 3.10-3.18
9 Mg 0.6732 0.3268 0.4336  9 Ga 2.85-3.11, 3 Mn 3.03-3.09, 4 Mg 3.10-3.18
10 Mg 0.3268 0.6732 0.5664  9 Ga 2.85-3.11, 3 Mn 3.03-3.09, 4 Mg 3.10-3.18
11 Mn 0.8424 0.1576 0.7500  6 Ga 2.49-2.55
12 Mn 0.1576 0.8424 0.2500  6 Ga 2.49-2.55

=====

3.
## Ca2YPd2 (SCAN)

Data for a crystal of Ca2YPd2 relaxed with PBEsol.

Computed properties:
Fermi-level density of states = 0.6542 states/eV per atom
formation energy from the elements = -3.36 eV per formula unit
volume = 23.9 Å³ per atom

Cell lengths 4.3689, 7.3949, 7.3949 Å; angles 90.00, 90.00, 90.00 degrees
With the nearest neighbours (Å) after each atom.
Positions (direct):
1 Ca 0.5000 0.8354 0.3354  6 Pd 3.05-3.10
2 Ca 0.5000 0.3354 0.1646  6 Pd 3.05-3.10
3 Ca 0.5000 0.1646 0.6646  6 Pd 3.05-3.10
4 Ca 0.5000 0.6646 0.8354  6 Pd 3.05-3.10
5 Y 0.0000 0.5000 0.5000  4 Pd 2.89
6 Y 0.0000 0.0000 0.0000  4 Pd 2.89
7 Pd 0.0000 0.8685 0.6315  1 Pd 2.75, 2 Y 2.89, 2 Ca 3.05
8 Pd 0.0000 0.6315 0.1315  1 Pd 2.75, 2 Y 2.89, 2 Ca 3.05
9 Pd 0.0000 0.1315 0.3685  1 Pd 2.75, 2 Y 2.89, 2 Ca 3.05
10 Pd 0.0000 0.3685 0.8685  1 Pd 2.75, 2 Y 2.89, 2 Ca 3.05

=====

4.
## PIrWS2 (SCAN)

Data for a crystal of PIrWS2 relaxed with PBEsol.

Computed properties:
Fermi-level density of states = 0.6441 states/eV per atom
raw formation energy = 1.37 eV/atom
volume = 18.4 Å³ per atom

Cell lengths 4.4629, 4.5411, 4.5411 Å; angles 90.00, 90.00, 90.00 degrees
With the nearest neighbours (Å) after each atom.
Positions (direct):
1 S 0.0000 0.0000 0.5000  2 Ir 2.27
2 S 0.0000 0.5000 0.0000  2 Ir 2.27
3 W 0.5000 0.5000 0.5000  8 S 3.18, 4 P 3.21
4 P 0.5000 0.0000 0.0000  2 Ir 2.23
5 Ir 0.0000 0.0000 0.0000  2 P 2.23, 4 S 2.27

=====

5.
## SrTl2O4 (SCAN)

Data for a crystal of SrTl2O4 relaxed with PBEsol.

Computed properties:
raw formation energy = -1.45 eV/atom
volume = 14.4 Å³ per atom

Cell lengths 3.4233, 10.0240, 11.7603 Å; angles 90.00, 90.00, 90.00 degrees
With the nearest neighbours (Å) after each atom.
Positions (direct):
1 O 0.2500 0.7892 0.1800  3 Tl 2.27-2.33
2 O 0.7500 0.9134 0.9248  3 Tl 2.17-2.40
3 O 0.7500 0.4134 0.5752  3 Tl 2.17-2.40
4 O 0.7500 0.6265 0.9761  3 Tl 2.29-2.36
5 O 0.2500 0.2892 0.3200  3 Tl 2.27-2.33
6 O 0.2500 0.4805 0.7798  3 Tl 2.22-2.25
7 O 0.2500 0.9805 0.7202  3 Tl 2.22-2.25
8 O 0.2500 0.8735 0.4761  3 Tl 2.29-2.36
9 O 0.7500 0.0195 0.2798  3 Tl 2.22-2.25
10 O 0.2500 0.0866 0.0752  3 Tl 2.17-2.40
11 O 0.7500 0.5195 0.2202  3 Tl 2.22-2.25
12 O 0.7500 0.7108 0.6800  3 Tl 2.27-2.33
13 O 0.2500 0.3735 0.0239  3 Tl 2.29-2.36
14 O 0.7500 0.2108 0.8200  3 Tl 2.27-2.33
15 O 0.7500 0.1265 0.5239  3 Tl 2.29-2.36
16 O 0.2500 0.5866 0.4248  3 Tl 2.17-2.40
17 Tl 0.7500 0.9234 0.1093  6 O 2.17-2.40
18 Tl 0.2500 0.5766 0.6093  6 O 2.17-2.40
19 Tl 0.7500 0.9206 0.6078  6 O 2.25-2.36
20 Tl 0.7500 0.4206 0.8922  6 O 2.25-2.36
21 Tl 0.2500 0.0766 0.8907  6 O 2.17-2.40
22 Tl 0.7500 0.4234 0.3907  6 O 2.17-2.40
23 Tl 0.2500 0.5794 0.1078  6 O 2.25-2.36
24 Tl 0.2500 0.0794 0.3922  6 O 2.25-2.36
25 Sr 0.2500 0.7457 0.8481  8 O 2.56-2.79
26 Sr 0.7500 0.2543 0.1519  8 O 2.56-2.79
27 Sr 0.2500 0.2457 0.6519  8 O 2.56-2.79
28 Sr 0.7500 0.7543 0.3481  8 O 2.56-2.79

=====

6.
## Sc2InFeC (SCAN)

Data for a crystal of Sc2InFeC relaxed with PBEsol.

Computed properties:
Fermi-level density of states = 0.5203 states/eV per atom
formation energy from the elements = -2.45 eV per formula unit
volume = 15.5 Å³ per atom

Cell lengths 3.6916, 4.5762, 4.5762 Å; angles 90.00, 90.00, 90.00 degrees
With the nearest neighbours (Å) after each atom.
Positions (direct):
1 Sc 0.0000 0.0000 0.5000  2 C 2.29
2 Sc 0.0000 0.5000 0.0000  2 C 2.29
3 Fe 0.5000 0.0000 0.0000  2 C 1.85
4 C 0.0000 0.0000 0.0000  2 Fe 1.85
5 In 0.5000 0.5000 0.5000  8 Sc 2.94, 4 Fe 3.24

=====

7.
## LaHg4Cl (SCAN)

Data for a crystal of LaHg4Cl relaxed with PBEsol.

Computed properties:
Fermi-level density of states = 0.6951 states/eV per atom
raw formation energy = -0.46 eV/atom
volume = 24.9 Å³ per atom

Cell lengths 5.9576, 5.9576, 5.9576 Å; angles 60.00, 60.00, 60.00 degrees
With the nearest neighbours (Å) after each atom.
Positions (direct):
1 Hg 0.3745 0.8765 0.3745  6 Hg 2.97-2.99
2 Hg 0.3745 0.3745 0.3745  6 Hg 2.97-2.99
3 Hg 0.8765 0.3745 0.3745  6 Hg 2.97-2.99
4 Hg 0.3745 0.3745 0.8765  6 Hg 2.97-2.99
5 La 0.7500 0.7500 0.7500  12 Hg 3.49, 4 Cl 3.65
6 Cl 0.0000 0.0000 0.0000  12 Hg 3.49, 4 La 3.65

=====

8.
## ZnCuRh2 (SCAN)

Data for a crystal of ZnCuRh2 relaxed with PBEsol.

Computed properties:
Fermi-level density of states = 0.6308 states/eV per atom
formation energy from the elements = -0.44 eV per formula unit
volume = 13.0 Å³ per atom

Cell lengths 3.7308, 3.7308, 4.5661 Å; angles 114.11, 114.11, 90.00 degrees
With the nearest neighbours (Å) after each atom.
Positions (direct):
1 Rh 0.0000 0.0000 0.0000  4 Rh 2.64, 4 Cu 2.64, 4 Zn 2.64
2 Rh 0.7500 0.2500 0.5000  4 Rh 2.64, 4 Zn 2.64, 4 Cu 2.64
3 Zn 0.5000 0.5000 0.0000  8 Rh 2.64, 4 Cu 2.64
4 Cu 0.2500 0.7500 0.5000  8 Rh 2.64, 4 Zn 2.64

=====

9.
## LaTeIr2 (SCAN)

Data for a crystal of LaTeIr2 relaxed with PBEsol.

Computed properties:
Fermi-level density of states = 0.6846 states/eV per atom
raw formation energy = -0.32 eV/atom
volume = 25.2 Å³ per atom

Cell lengths 4.8160, 4.8160, 9.3270 Å; angles 104.96, 104.96, 90.00 degrees
With the nearest neighbours (Å) after each atom.
Positions (direct):
1 Te 0.5000 0.5000 0.0000  4 Ir 2.52
2 Te 0.7500 0.2500 0.5000  4 Ir 2.52
3 Ir 0.6250 0.4684 0.7500  2 Te 2.52, 2 Ir 2.57
4 Ir 0.7184 0.3750 0.2500  2 Te 2.52, 2 Ir 2.57
5 Ir 0.5316 0.8750 0.2500  2 Te 2.52, 2 Ir 2.57
6 Ir 0.1250 0.2816 0.7500  2 Te 2.52, 2 Ir 2.57
7 La 0.0000 0.0000 0.0000  4 Ir 3.16, 4 Te 3.41
8 La 0.2500 0.7500 0.5000  4 Ir 3.16, 4 Te 3.41

=====

10.
## Fe2CuSe (SCAN)

Data for a crystal of Fe2CuSe relaxed with PBEsol.

Computed properties:
Fermi-level density of states = 0.4256 states/eV per atom
raw formation energy = 0.25 eV/atom
volume = 12.9 Å³ per atom

Cell lengths 2.6914, 3.8966, 5.0486 Å; angles 90.00, 102.37, 90.00 degrees
With the nearest neighbours (Å) after each atom.
Positions (direct):
1 Se 0.5000 0.5000 0.0000  4 Fe 2.41, 2 Cu 2.52, 2 Se 2.69
2 Fe 0.8232 0.0000 0.2616  1 Fe 2.39, 2 Se 2.41, 2 Cu 2.54
3 Fe 0.1768 0.0000 0.7384  1 Fe 2.39, 2 Se 2.41, 2 Cu 2.54
4 Cu 0.5000 0.5000 0.5000  2 Se 2.52, 8 Fe 2.54-2.76, 2 Cu 2.69

=====

11.
## Tl2FeAu (SCAN)

Data for a crystal of Tl2FeAu relaxed with PBEsol.

Computed properties:
Fermi-level density of states = 1.0481 states/eV per atom
formation energy from the elements = 1.92 eV per formula unit
volume = 20.2 Å³ per atom

Cell lengths 4.8551, 4.8551, 4.8551 Å; angles 60.00, 60.00, 60.00 degrees
With the nearest neighbours (Å) after each atom.
Positions (direct):
1 Tl 0.0000 0.0000 0.0000  4 Fe 2.97, 4 Tl 2.97
2 Tl 0.7500 0.7500 0.7500  4 Tl 2.97, 4 Au 2.97
3 Fe 0.2500 0.2500 0.2500  4 Au 2.97, 4 Tl 2.97
4 Au 0.5000 0.5000 0.5000  4 Tl 2.97, 4 Fe 2.97

=====

12.
## Y3CrFe (SCAN)

Data for a crystal of Y3CrFe relaxed with PBEsol.

Computed properties:
Fermi-level density of states = 0.6249 states/eV per atom
formation energy from the elements = 1.58 eV per formula unit
volume = 26.0 Å³ per atom

Cell lengths 5.0638, 5.0638, 5.0638 Å; angles 90.00, 90.00, 90.00 degrees
With the nearest neighbours (Å) after each atom.
Positions (direct):
1 Fe 0.0000 0.0000 0.0000  6 Y 2.53
2 Y 0.0000 0.5000 0.0000  2 Fe 2.53
3 Y 0.0000 0.0000 0.5000  2 Fe 2.53
4 Y 0.5000 0.0000 0.0000  2 Fe 2.53
5 Cr 0.5000 0.5000 0.5000  12 Y 3.58